[1]
KInFeCl4 | Alexandria via LeMat-Bulk | GGA-PBE | relaxed; theoretical density = 2.70 g cm⁻³; space group = P2_1/m; E = -3.9090 eV per atom; density of states at the Fermi level = 14.11 states/eV per cell; uncorrected formation energy = -1.097 eV per atom
1.0
7.270 0.000 0.000
0.000 7.174 0.000
-2.704 0.000 8.300
K In Fe Cl
2 2 2 8
Cartesian
1.439 1.793 0.480
3.126 5.380 7.821
0.387 1.793 4.759
4.178 5.380 3.541
-0.466 5.380 6.655
5.031 1.793 1.646
-1.864 3.605 6.187
-1.864 7.156 6.187
2.790 5.380 0.576
1.337 5.380 5.257
3.228 1.793 3.043
1.775 1.793 7.725
6.429 0.018 2.114
6.429 3.569 2.114

***

[2]
La5Tl2N2 | Alexandria via LeMat-Bulk | GGA-PBE | relaxed; theoretical density = 7.30 g cm⁻³; space group = P4/mmm; E = -5.8707 eV per atom; density of states at the Fermi level = 6.87 states/eV per cell; uncorrected formation energy = -0.757 eV per atom
1.0
5.012 0.000 0.000
0.000 5.012 0.000
0.000 0.000 10.249
La Tl N
5 2 2
Cartesian
0.000 0.000 0.000
0.000 2.506 2.839
0.000 2.506 7.409
2.506 0.000 2.839
2.506 0.000 7.409
2.506 2.506 0.000
2.506 2.506 5.124
0.000 0.000 2.419
0.000 0.000 7.830

***

[3]
Ac3Al3Zn | Alexandria via LeMat-Bulk | GGA-PBE | relaxed; theoretical density = 6.72 g cm⁻³; space group = C2/m; E = -3.8561 eV per atom; DFT formation energy = -309.4 meV/atom; density of states at the Fermi level = 11.38 states/eV per cell
1.0
5.809 -2.429 0.000
5.809 2.429 0.000
-5.624 0.000 14.497
Ac Al Zn
6 6 2
Cartesian
-1.609 0.000 5.579
-4.001 0.000 13.320
1.741 0.000 3.246
4.253 0.000 11.251
9.996 0.000 1.176
7.604 0.000 8.917
1.693 0.000 6.667
-0.593 0.000 13.412
0.807 0.000 11.093
5.188 0.000 3.403
6.588 0.000 1.084
4.302 0.000 7.830
-0.539 0.000 8.766
6.534 0.000 5.731

***

[4]
Li2MnCl | Alexandria via LeMat-Bulk | GGA-PBE | relaxed; theoretical density = 2.15 g cm⁻³; space group = I-42d; E = -3.8845 eV per atom; offset from the most stable computed form = 270 meV per atom; density of states at the Fermi level = 2.09 states/eV per cell; uncorrected formation energy = -0.174 eV per atom
1.0
7.100 0.000 0.000
0.000 7.100 0.000
0.000 0.000 6.378
Li Mn Cl
8 4 4
Cartesian
1.323 1.775 0.797
1.775 4.873 2.392
1.775 5.777 5.581
2.227 1.775 3.986
4.873 5.325 3.986
5.325 1.323 5.581
5.325 2.227 2.392
5.777 5.325 0.797
0.000 0.000 3.189
0.000 3.550 4.783
3.550 0.000 1.594
3.550 3.550 0.000
0.000 0.000 0.000
0.000 3.550 1.594
3.550 0.000 4.783
3.550 3.550 3.189